i:
The following is a DFT calculation (PBE) of Ni3SeCl after structural relaxation.

Results
- magnetic moment (μB per atom) = 0.60
- volume (Å³/atom) = 18.33
- Fermi-level density of states (states/eV/atom) = 2.4372

The structure in CIF format:
```
data_Ni3SeCl
_chemical_formula_sum 'Ni3 Se1 Cl1'
_cell_length_a 4.5083
_cell_length_b 4.5083
_cell_length_c 4.5083
_cell_angle_alpha 90.00
_cell_angle_beta 90.00
_cell_angle_gamma 90.00
_space_group_name_H-M_alt 'P m -3 m'
_space_group_IT_number 221
_space_group_name_Hall '-P 4 2 3'
loop_
_atom_site_label
_atom_site_type_symbol
_atom_site_fract_x
_atom_site_fract_y
_atom_site_fract_z
Ni1 Ni 0.0000 0.0000 0.5000
Se1 Se 0.0000 0.0000 0.0000
Cl1 Cl 0.5000 0.5000 0.5000
```

=====

ii:
The following is a DFT calculation (PBE) of Ni3SeCl after structural relaxation.

Results
- magnetic moment (μB per atom) = 0.00
- volume (Å³/atom) = 15.32
- Fermi-level density of states (states/eV/atom) = 1.1480

The structure in CIF format:
```
data_Ni3SeCl
_chemical_formula_sum 'Ni3 Se1 Cl1'
_cell_length_a 4.2467
_cell_length_b 4.2467
_cell_length_c 4.2467
_cell_angle_alpha 90.00
_cell_angle_beta 90.00
_cell_angle_gamma 90.00
_space_group_name_H-M_alt 'P m -3 m'
_space_group_IT_number 221
_space_group_name_Hall '-P 4 2 3'
loop_
_atom_site_label
_atom_site_type_symbol
_atom_site_fract_x
_atom_site_fract_y
_atom_site_fract_z
Ni1 Ni 0.0000 0.0000 0.5000
Se1 Se 0.5000 0.5000 0.5000
Cl1 Cl 0.0000 0.0000 0.0000
```

=====

Most stable of them? i.